(1)
Compound: La2PbC
Source: Alexandria via LeMat-Bulk
Functional: PBE
Structure: optimized geometry

Structure (CIF):
```
data_La2PbC
_chemical_formula_sum 'La8 Pb4 C4'
_cell_length_a 7.503
_cell_length_b 7.503
_cell_length_c 7.503
_cell_angle_alpha 90.00
_cell_angle_beta 90.00
_cell_angle_gamma 90.00
_space_group_name_H-M_alt 'F m -3 m'
_space_group_IT_number 225
_space_group_name_Hall '-F 4 2 3'
loop_
_atom_site_label
_atom_site_type_symbol
_atom_site_fract_x
_atom_site_fract_y
_atom_site_fract_z
La1 La 0.250 0.250 0.250
Pb1 Pb 0.000 0.000 0.000
C1 C 0.000 0.000 0.500
```

- Calculated formation energy: 54.9 kJ/mol of atoms

---

(2)
Compound: SrAc2ZnN
Source: Alexandria via LeMat-Bulk
Functional: PBE
Structure: optimized geometry

Structure (CIF):
```
data_SrAc2ZnN
_chemical_formula_sum 'Sr1 Ac2 Zn1 N1'
_cell_length_a 5.312
_cell_length_b 5.312
_cell_length_c 5.252
_cell_angle_alpha 90.00
_cell_angle_beta 90.00
_cell_angle_gamma 90.00
_space_group_name_H-M_alt 'P 4 m m'
_space_group_IT_number 99
_space_group_name_Hall 'P 4 -2'
loop_
_atom_site_label
_atom_site_type_symbol
_atom_site_fract_x
_atom_site_fract_y
_atom_site_fract_z
Sr1 Sr 0.000 0.000 0.000
Ac1 Ac 0.000 0.500 0.500
Zn1 Zn 0.500 0.500 0.001
N1 N 0.000 0.000 0.500
```

- Uncorrected formation energy: -2.1 eV/f.u.

---

Number 1: volume 422.3 Å³/cell, D(E_F) 24.213 states/eV/cell. Number 2: volume 148.2 Å³/cell, D(E_F) 4.908 states/eV/cell.